Record 1
Tb2NdTe | PBE-GGA | optimized geometry

Computed properties:
raw formation energy = -0.54 eV per atom
ΔE to the lowest computed polymorph = 127.1 meV per atom
raw total energy = -4.836 eV per atom

a = 3.923 Å, b = 3.923 Å, c = 29.757 Å
α = 90.00°, β = 90.00°, γ = 120.00°
Positions (direct):
1 Tb 0.000 0.000 0.000
2 Tb 0.000 0.000 0.192
3 Tb 0.333 0.667 0.667
4 Tb 0.333 0.667 0.859
5 Tb 0.667 0.333 0.333
6 Tb 0.667 0.333 0.526
7 Nd 0.000 0.000 0.429
8 Nd 0.333 0.667 0.096
9 Nd 0.667 0.333 0.762
10 Te 0.000 0.000 0.596
11 Te 0.333 0.667 0.263
12 Te 0.667 0.333 0.929

Record 2
USi2TcPt | PBE-GGA | optimized geometry

Computed properties:
raw formation energy = -0.65 eV per atom
raw total energy = -8.362 eV per atom

a = 4.121 Å, b = 4.121 Å, c = 9.964 Å
α = 90.00°, β = 90.00°, γ = 90.00°
Positions (direct):
1 U 0.000 0.000 0.000
2 U 0.500 0.500 0.500
3 Si 0.000 0.000 0.381
4 Si 0.000 0.000 0.619
5 Si 0.500 0.500 0.119
6 Si 0.500 0.500 0.881
7 Tc 0.000 0.500 0.250
8 Tc 0.500 0.000 0.750
9 Pt 0.000 0.500 0.750
10 Pt 0.500 0.000 0.250

Record 3
NpBe2CdO6 | PBE-GGA | optimized geometry

Computed properties:
raw formation energy = -2.30 eV per atom
raw total energy = -7.404 eV per atom

a = 6.959 Å, b = 6.959 Å, c = 5.555 Å
α = 107.26°, β = 107.26°, γ = 84.21°
Positions (direct):
1 Np 0.213 0.787 0.750
2 Np 0.787 0.213 0.250
3 Be 0.139 0.273 0.660
4 Be 0.273 0.139 0.160
5 Be 0.727 0.861 0.840
6 Be 0.861 0.727 0.340
7 Cd 0.411 0.589 0.250
8 Cd 0.589 0.411 0.750
9 O 0.108 0.207 0.328
10 O 0.111 0.684 0.370
11 O 0.207 0.108 0.828
12 O 0.264 0.480 0.802
13 O 0.316 0.889 0.130
14 O 0.480 0.264 0.302
15 O 0.520 0.736 0.698
16 O 0.684 0.111 0.870
17 O 0.736 0.520 0.198
18 O 0.793 0.892 0.172
19 O 0.889 0.316 0.630
20 O 0.892 0.793 0.672

- The lowest raw formation energy belongs to which entry?
  NpBe2CdO6